Model w:
DFT (PBE-GGA) results for a geometry-optimized RbPHO2 structure.

Cell: 5.5043 5.5043 7.4612 Å, 90.00 90.00 90.00°
Fractional positions:
Rb 0.0000 0.0000 0.0000
P 0.0000 0.0000 0.5000
H 0.5000 0.5000 0.5000
O 0.0000 0.5000 0.0000
O 0.5000 0.0000 0.0000



Model x:
DFT (PBE-GGA) results for a geometry-optimized RbPHO2 structure.

Cell: 4.5714 4.5714 3.1466 Å, 90.00 90.00 90.00°
Fractional positions:
Rb 0.0000 0.0000 0.0000
P 0.5000 0.5000 0.0000
H 0.5000 0.5000 0.5000
O 0.0000 0.5000 0.5000
O 0.5000 0.0000 0.5000



Which is less stable than every other structure shown? model w is.